Below is crystalline Ac4HoTe6 at its relaxed geometry, with properties calculated at the GGA-PBE level.

Results
symmetry	R-3c
E_tot	-111.73	eV per cell
magnetization	0.00	μB/cell

Cell: 9.190 9.190 9.190 Å, 90.57 90.57 90.57°
Sites, in units of the cell vectors:
Ac 0.137 0.750 0.363
Ac 0.250 0.250 0.250
Ac 0.250 0.637 0.863
Ac 0.363 0.137 0.750
Ac 0.637 0.863 0.250
Ac 0.750 0.363 0.137
Ac 0.750 0.750 0.750
Ac 0.863 0.250 0.637
Ho 0.000 0.000 0.000
Ho 0.500 0.500 0.500
Te 0.060 0.921 0.684
Te 0.079 0.316 0.940
Te 0.184 0.421 0.560
Te 0.316 0.940 0.079
Te 0.421 0.560 0.184
Te 0.440 0.816 0.579
Te 0.560 0.184 0.421
Te 0.579 0.440 0.816
Te 0.684 0.060 0.921
Te 0.816 0.579 0.440
Te 0.921 0.684 0.060
Te 0.940 0.079 0.316

---

Below is crystalline NdTm3Ir8 at its relaxed geometry, with properties calculated at the GGA-PBE level.

Results
symmetry	R3m
energy of formation	-0.791	eV per atom
E_tot	-98.57	eV per cell
magnetization	0.00	μB/cell

Cell: 9.279 9.279 9.279 Å, 33.57 33.57 33.57°
Sites, in units of the cell vectors:
Nd 0.000 0.000 0.000
Tm 0.126 0.126 0.126
Tm 0.499 0.499 0.499
Tm 0.624 0.624 0.624
Ir 0.062 0.062 0.560
Ir 0.062 0.560 0.062
Ir 0.064 0.563 0.563
Ir 0.312 0.312 0.312
Ir 0.560 0.062 0.062
Ir 0.563 0.064 0.563
Ir 0.563 0.563 0.064
Ir 0.812 0.812 0.812

---

Below is crystalline Pr2In3Cu at its relaxed geometry, with properties calculated at the GGA-PBE level.

Results
symmetry	Fmmm
energy of formation	-0.410	eV per atom
E_tot	-48.66	eV per cell
magnetization	0.00	μB/cell
polymorph energy (0 for the lowest one)	11	kJ/mol of formula units

Cell: 9.699 9.243 6.187 Å, 74.98 66.99 38.03°
Sites, in units of the cell vectors:
Pr 0.246 0.754 0.754
Pr 0.250 0.250 0.250
Pr 0.750 0.750 0.750
Pr 0.754 0.246 0.246
In 0.154 0.672 0.328
In 0.327 0.327 0.673
In 0.328 0.846 0.154
In 0.672 0.154 0.846
In 0.673 0.673 0.327
In 0.846 0.328 0.672
Cu 0.168 0.168 0.832
Cu 0.832 0.832 0.168

---

Below is crystalline PuBiPb4 at its relaxed geometry, with properties calculated at the GGA-PBE level.

Results
symmetry	F-43m
energy of formation	0.108	eV per atom
E_tot	-32.40	eV per cell
magnetization	6.48	μB/cell

Cell: 6.453 6.453 6.453 Å, 60.00 60.00 60.00°
Sites, in units of the cell vectors:
Pu 0.000 0.000 0.000
Bi 0.250 0.250 0.250
Pb 0.125 0.625 0.625
Pb 0.625 0.125 0.625
Pb 0.625 0.625 0.125
Pb 0.625 0.625 0.625

---

Below is crystalline Rb2In4SbPb3 at its relaxed geometry, with properties calculated at the GGA-PBE level.

Results
symmetry	P-4m2
E_tot	-29.23	eV per cell
magnetization	0.00	μB/cell

Cell: 5.375 5.375 12.234 Å, 90.00 90.00 90.00°
Sites, in units of the cell vectors:
Rb 0.000 0.500 0.247
Rb 0.500 0.000 0.753
In 0.000 0.000 0.500
In 0.000 0.500 0.875
In 0.500 0.000 0.125
In 0.500 0.500 0.500
Sb 0.500 0.500 0.000
Pb 0.000 0.000 0.000
Pb 0.000 0.500 0.629
Pb 0.500 0.000 0.371

---

Below is crystalline YHg2Sb at its relaxed geometry, with properties calculated at the GGA-PBE level.

Results
symmetry	F-43m
E_tot	-49.35	eV per cell
magnetization	0.00	μB/cell

Cell: 7.525 7.525 7.525 Å, 90.00 90.00 90.00°
Sites, in units of the cell vectors:
Y 0.000 0.000 0.000
Y 0.000 0.500 0.500
Y 0.500 0.000 0.500
Y 0.500 0.500 0.000
Hg 0.000 0.000 0.500
Hg 0.000 0.500 0.000
Hg 0.250 0.250 0.250
Hg 0.250 0.750 0.750
Hg 0.500 0.000 0.000
Hg 0.500 0.500 0.500
Hg 0.750 0.250 0.750
Hg 0.750 0.750 0.250
Sb 0.250 0.250 0.750
Sb 0.250 0.750 0.250
Sb 0.750 0.250 0.250
Sb 0.750 0.750 0.750

---

Number 4 is which compound? PuBiPb4

---

The highest magnetization belongs to which entry? PuBiPb4

---

Among the records above, which one has the lowest E_tot? Ac4HoTe6